Record 1
First-principles (PBE) data for a relaxed structure of TaHgP2, as listed in the Alexandria database.

Output
**Formation energy from the elements**: 0.118 eV/f.u.
**M_tot**: 0.0 μB/f.u.

a = 4.6351 Å, b = 4.6351 Å, c = 5.5018 Å
α = 83.59°, β = 83.59°, γ = 39.67°
Last column: nearest neighbours and their distance in Å.
Element x y z (fractional)
P 0.5264 0.5264 0.4038  2 P 2.39, 3 Ta 2.57-2.65
P 0.9736 0.9736 0.0962  2 P 2.39, 3 Ta 2.57-2.65
Ta 0.2500 0.2500 0.2500  6 P 2.57-2.65
Hg 0.7500 0.7500 0.7500  2 P 2.88, 2 Hg 3.15, 4 Ta 3.17

***

Record 2
First-principles (PBE) data for a relaxed structure of Sc2TaRh, as listed in the Alexandria database.

Output
**Formation energy from the elements**: -0.323 eV/f.u.
**M_tot**: 0.0 μB/f.u.
**E above lowest polymorph**: 0.283 eV/atom

a = 5.4756 Å, b = 5.4756 Å, c = 5.4756 Å
α = 137.40°, β = 137.40°, γ = 61.83°
Last column: nearest neighbours and their distance in Å.
Element x y z (fractional)
Rh 0.7500 0.2500 0.5000  4 Ta 2.81, 8 Sc 3.08
Sc 0.5000 0.5000 0.0000  4 Sc 2.81, 4 Ta 3.08, 4 Rh 3.08
Sc 0.0000 0.0000 0.0000  4 Sc 2.81, 4 Rh 3.08, 4 Ta 3.08
Ta 0.2500 0.7500 0.5000  4 Rh 2.81, 8 Sc 3.08

***

Record 3
First-principles (PBE) data for a relaxed structure of Li6AcAg2, as listed in the Alexandria database.

Output
**Formation energy from the elements**: -1.073 eV/f.u.
**M_tot**: 0.0 μB/f.u.
**E above lowest polymorph**: 0.000 eV/atom

a = 4.3056 Å, b = 4.3056 Å, c = 10.6395 Å
α = 90.00°, β = 90.00°, γ = 90.00°
Last column: nearest neighbours and their distance in Å.
Element x y z (fractional)
Li 0.5000 0.5000 0.5000  12 Li 3.04
Li 0.0000 0.5000 0.2977  2 Ag 2.74, 8 Li 3.04
Li 0.5000 0.0000 0.2977  2 Ag 2.74, 8 Li 3.04
Li 0.5000 0.0000 0.7023  2 Ag 2.74, 8 Li 3.04
Li 0.0000 0.0000 0.5000  12 Li 3.04
Li 0.0000 0.5000 0.7023  2 Ag 2.74, 8 Li 3.04
Ag 0.5000 0.5000 0.8618  4 Li 2.74, 1 Ag 2.94
Ag 0.5000 0.5000 0.1382  4 Li 2.74, 1 Ag 2.94
Ac 0.0000 0.0000 0.0000  8 Ag 3.38

***

Record 4
First-principles (PBE) data for a relaxed structure of NiIrPt2, as listed in the Alexandria database.

Output
**Formation energy from the elements**: -0.035 eV/f.u.
**M_tot**: 1.6 μB/f.u.
**E above lowest polymorph**: 0.015 eV/atom

a = 4.7273 Å, b = 4.7273 Å, c = 2.7398 Å
α = 90.00°, β = 90.00°, γ = 109.69°
Last column: nearest neighbours and their distance in Å.
Element x y z (fractional)
Pt 0.5000 0.5000 0.0000  4 Pt 2.72-2.74, 4 Ni 2.73, 4 Ir 2.73
Pt 0.0000 0.0000 0.0000  4 Pt 2.72-2.74, 4 Ir 2.73, 4 Ni 2.73
Ir 0.5000 0.0000 0.5000  2 Ni 2.72, 8 Pt 2.73, 2 Ir 2.74
Ni 0.0000 0.5000 0.5000  2 Ir 2.72, 8 Pt 2.73, 2 Ni 2.74

***

Record 5
First-principles (PBE) data for a relaxed structure of PrThHg4, as listed in the Alexandria database.

Output
**Formation energy from the elements**: -1.065 eV/f.u.
**M_tot**: 0.7 μB/f.u.
**E above lowest polymorph**: 0.173 eV/atom

a = 6.0341 Å, b = 6.0341 Å, c = 6.0341 Å
α = 60.00°, β = 60.00°, γ = 60.00°
Last column: nearest neighbours and their distance in Å.
Element x y z (fractional)
Hg 0.6250 0.6250 0.1250  6 Hg 3.02
Hg 0.6250 0.6250 0.6250  6 Hg 3.02
Hg 0.1250 0.6250 0.6250  6 Hg 3.02
Hg 0.6250 0.1250 0.6250  6 Hg 3.02
Th 0.0000 0.0000 0.0000  12 Hg 3.54, 4 Pr 3.70
Pr 0.2500 0.2500 0.2500  12 Hg 3.54, 4 Th 3.70

***

Record 6
First-principles (PBE) data for a relaxed structure of Ba3TlBi, as listed in the Alexandria database.

Output
**Formation energy from the elements**: -1.426 eV/f.u.
**M_tot**: 1.9 μB/f.u.
**E above lowest polymorph**: 0.276 eV/atom

a = 6.7495 Å, b = 6.7495 Å, c = 6.7495 Å
α = 90.00°, β = 90.00°, γ = 90.00°
Last column: nearest neighbours and their distance in Å.
Element x y z (fractional)
Ba 0.0000 0.0000 0.5000  2 Bi 3.37
Ba 0.5000 0.0000 0.0000  2 Bi 3.37
Ba 0.0000 0.5000 0.0000  2 Bi 3.37
Tl 0.5000 0.5000 0.5000  12 Ba 4.77
Bi 0.0000 0.0000 0.0000  6 Ba 3.37

***

Record 7
First-principles (PBE) data for a relaxed structure of CaZr2PdRu, as listed in the Alexandria database.

Output
**Formation energy from the elements**: 3.077 eV/f.u.
**M_tot**: 0.0 μB/f.u.

a = 5.0049 Å, b = 5.0632 Å, c = 5.0049 Å
α = 90.00°, β = 90.00°, γ = 90.00°
Last column: nearest neighbours and their distance in Å.
Element x y z (fractional)
Zr 0.5000 0.0000 0.0000  2 Pd 2.50
Zr 0.0000 0.0000 0.5000  2 Pd 2.50
Pd 0.0000 0.0000 0.0000  4 Zr 2.50, 2 Ru 2.53
Ru 0.0000 0.5000 0.0000  2 Pd 2.53
Ca 0.5000 0.5000 0.5000  4 Ru 3.54, 8 Zr 3.56

***

Record 8
First-principles (PBE) data for a relaxed structure of ErZn2Bi, as listed in the Alexandria database.

Output
**Formation energy from the elements**: -1.143 eV/f.u.
**M_tot**: 0.0 μB/f.u.

a = 4.5204 Å, b = 4.4403 Å, c = 4.4403 Å
α = 90.00°, β = 90.00°, γ = 90.00°
Last column: nearest neighbours and their distance in Å.
Element x y z (fractional)
Zn 0.0000 0.5000 0.0000  4 Zn 3.14, 4 Bi 3.17, 4 Er 3.17
Zn 0.0000 0.0000 0.5000  4 Zn 3.14, 4 Bi 3.17, 4 Er 3.17
Er 0.5000 0.5000 0.5000  4 Bi 3.14, 8 Zn 3.17
Bi 0.5000 0.0000 0.0000  4 Er 3.14, 8 Zn 3.17

***

Record 9
First-principles (PBE) data for a relaxed structure of MgNi8B4, as listed in the Alexandria database.

Output
**Formation energy from the elements**: -1.483 eV/f.u.
**M_tot**: 0.0 μB/f.u.

a = 4.3937 Å, b = 5.7276 Å, c = 5.7276 Å
α = 81.54°, β = 67.45°, γ = 67.45°
Last column: nearest neighbours and their distance in Å.
Element x y z (fractional)
B 0.5000 0.0000 0.5000  8 Ni 2.18-2.26, 2 B 2.20
B 0.0000 0.5000 0.0000  8 Ni 2.18-2.26, 2 B 2.20
B 0.0000 0.0000 0.5000  8 Ni 2.18-2.26, 2 B 2.20
B 0.5000 0.5000 0.0000  8 Ni 2.18-2.26, 2 B 2.20
Ni 0.0000 0.6641 0.3359  4 B 2.26, 5 Ni 2.36-2.45, 1 Mg 2.51
Ni 0.5000 0.2211 0.7789  4 B 2.18, 6 Ni 2.34-2.42
Ni 0.0000 0.3359 0.6641  4 B 2.26, 5 Ni 2.36-2.45, 1 Mg 2.51
Ni 0.5000 0.7789 0.2211  4 B 2.18, 6 Ni 2.34-2.42
Ni 0.3359 0.6641 0.6641  4 B 2.26, 5 Ni 2.36-2.45, 1 Mg 2.51
Ni 0.7211 0.7789 0.7789  4 B 2.18, 6 Ni 2.34-2.42
Ni 0.2789 0.2211 0.2211  4 B 2.18, 6 Ni 2.34-2.42
Ni 0.6641 0.3359 0.3359  4 B 2.26, 5 Ni 2.36-2.45, 1 Mg 2.51
Mg 0.0000 0.0000 0.0000  12 Ni 2.51-2.75

***

Record 10
First-principles (PBE) data for a relaxed structure of Pa2CuS2N2, as listed in the Alexandria database.

Output
**M_tot**: 0.8 μB/f.u.
**Total energy**: -58.1 eV for the cell shown

a = 3.9079 Å, b = 3.9079 Å, c = 10.5125 Å
α = 90.00°, β = 90.00°, γ = 120.00°
Last column: nearest neighbours and their distance in Å.
Element x y z (fractional)
Pa 0.6667 0.3333 0.3641  4 N 2.25-2.34
Pa 0.3333 0.6667 0.6359  4 N 2.25-2.34
N 0.6667 0.3333 0.5784  4 Pa 2.25-2.34
N 0.3333 0.6667 0.4216  4 Pa 2.25-2.34
S 0.0000 0.0000 0.2027  1 Cu 2.13
S 0.0000 0.0000 0.7973  1 Cu 2.13
Cu 0.0000 0.0000 0.0000  2 S 2.13

***

Record 11
First-principles (PBE) data for a relaxed structure of LaNi2As, as listed in the Alexandria database.

Output
**Formation energy from the elements**: -2.154 eV/f.u.
**M_tot**: 0.0 μB/f.u.

a = 3.9590 Å, b = 4.1806 Å, c = 4.8741 Å
α = 90.00°, β = 90.00°, γ = 90.00°
Last column: nearest neighbours and their distance in Å.
Element x y z (fractional)
As 0.5000 0.2500 0.2500  4 Ni 2.34
Ni 0.0000 0.2498 0.9940  2 As 2.34, 2 Ni 2.38-2.50
Ni 0.0000 0.2502 0.5060  2 As 2.34, 2 Ni 2.38-2.50
La 0.5000 0.7500 0.7500  8 Ni 3.11-3.12, 4 As 3.21

***

Record 12
First-principles (PBE) data for a relaxed structure of La3Sm8Y4, as listed in the Alexandria database.

Output
**Formation energy from the elements**: 4.971 eV/f.u.
**M_tot**: 0.0 μB/f.u.

a = 6.9463 Å, b = 9.3077 Å, c = 9.3077 Å
α = 82.37°, β = 111.48°, γ = 111.48°
Last column: nearest neighbours and their distance in Å.
Element x y z (fractional)
Sm 0.2601 0.2491 0.2491  1 Y 3.05, 1 La 3.07
Sm 0.5000 0.7502 0.2498  1 Y 3.06, 1 La 3.07
Sm 0.0000 0.2952 0.7048  4 Sm 3.52-3.54, 3 Y 3.55-3.62, 2 La 3.58
Sm 0.8076 0.2965 0.2965  4 Sm 3.51-3.54, 3 Y 3.53-3.63, 2 La 3.61
Sm 0.7399 0.7509 0.7509  1 Y 3.05, 1 La 3.07
Sm 0.5000 0.2498 0.7502  1 Y 3.06, 1 La 3.07
Sm 0.0000 0.7048 0.2952  4 Sm 3.52-3.54, 3 Y 3.55-3.62, 2 La 3.58
Sm 0.1924 0.7035 0.7035  4 Sm 3.51-3.54, 3 Y 3.53-3.63, 2 La 3.61
Y 0.0000 0.0000 0.0000  2 Sm 3.05
Y 0.0000 0.0000 0.5000  2 La 3.47, 8 Sm 3.53-3.56
Y 0.0000 0.5000 0.0000  2 La 3.47, 8 Sm 3.53-3.56
Y 0.5000 0.0000 0.0000  2 Sm 3.06
La 0.5000 0.5000 0.0000  2 Y 3.47, 8 Sm 3.49-3.61
La 0.5000 0.0000 0.5000  2 Y 3.47, 8 Sm 3.49-3.61
La 0.5000 0.5000 0.5000  4 Sm 3.07

***

The highest M_tot belongs to which entry? Ba3TlBi